No. 1
This record from the Alexandria database describes crystalline BaAsSeBr2 at its relaxed geometry. The functional is GGA-PBEsol.

## Properties
The uncorrected energy is -3.559 eV per atom. The calculation puts the raw formation energy at -284.8 kJ/mol of formula units.

abc: 5.3567 5.3567 5.1735
angles: 90.00 90.00 90.00
Space group P4/mmm (No. 123)
Asymmetric unit:
Ba  0.0000  0.0000  0.0000
As  0.5000  0.5000  0.0000
Se  0.5000  0.5000  0.5000
Br  0.0000  0.5000  0.5000

=====

No. 2
This record from the Alexandria database describes crystalline Cd3Au at its relaxed geometry. The functional is GGA-PBEsol.

## Properties
The calculation puts the formation energy at -97 meV/atom. The uncorrected energy is -1.976 eV per atom.

abc: 4.2383 4.2383 8.4711
angles: 90.00 90.00 90.00
Space group I4/mmm (No. 139)
Asymmetric unit:
Cd  0.0000  0.0000  0.0000
Cd  0.0000  0.5000  0.2500
Au  0.0000  0.0000  0.5000

=====

No. 3
This record from the Alexandria database describes crystalline Rb2CuBrCl3 at its relaxed geometry. The functional is GGA-PBEsol.

## Properties
The uncorrected energy is -3.330 eV per atom. The calculation puts the raw formation energy at -871.7 kJ/mol of formula units.

abc: 7.0428 7.0393 15.9037
angles: 90.00 90.00 90.00
Space group Aea2 (No. 41)
Asymmetric unit:
Rb  0.0000  0.0000  0.0000
Rb  0.0000  0.0000  0.2728
Cu  0.0000  0.0000  0.6307
Br  0.0000  0.0000  0.7884
Cl  0.0000  0.0000  0.4841
Cl  0.2279  0.2281  0.6337

=====

No. 4
This record from the Alexandria database describes crystalline AsRh2W at its relaxed geometry. The functional is GGA-PBEsol.

## Properties
The calculation puts the formation energy at 28 meV/atom. The uncorrected energy is -8.770 eV per atom.

abc: 2.8725 4.4484 4.4805
angles: 90.00 90.00 90.00
Space group Pmmm (No. 47)
Asymmetric unit:
As  0.0000  0.0000  0.0000
Rh  0.0000  0.5000  0.5000
Rh  0.5000  0.5000  0.0000
W  0.5000  0.0000  0.5000

=====

No. 5
This record from the Alexandria database describes crystalline Ca2CuAg at its relaxed geometry. The functional is GGA-PBEsol.

## Properties
The calculation puts the formation energy at -129 meV/atom. The uncorrected energy is -3.106 eV per atom.

abc: 5.0663 5.0663 3.5473
angles: 90.00 90.00 90.00
Space group P4/mmm (No. 123)
Asymmetric unit:
Ca  0.0000  0.5000  0.0000
Cu  0.0000  0.0000  0.5000
Ag  0.5000  0.5000  0.5000

=====

No. 6
This record from the Alexandria database describes crystalline Sr2PbF2 at its relaxed geometry. The functional is GGA-PBEsol.

## Properties
The uncorrected energy is -4.876 eV per atom. The calculation puts the raw formation energy at -1239.5 kJ/mol of formula units.

abc: 3.9414 3.9414 15.1424
angles: 90.00 90.00 90.00
Space group I4/mmm (No. 139)
Asymmetric unit:
Sr  0.0000  0.0000  0.1548
Pb  0.0000  0.0000  0.5000
F  0.0000  0.5000  0.2500

=====

No. 7
This record from the Alexandria database describes crystalline SbTe2MoP at its relaxed geometry. The functional is GGA-PBEsol.

## Properties
The uncorrected energy is -4.997 eV per atom. The calculation puts the raw formation energy at 403.7 kJ/mol of formula units.

abc: 5.0957 5.0957 5.1896
angles: 90.00 90.00 90.00
Space group P4/mmm (No. 123)
Asymmetric unit:
Sb  0.0000  0.0000  0.0000
Te  0.0000  0.5000  0.5000
Mo  0.0000  0.0000  0.5000
P  0.5000  0.5000  0.0000

=====

No. 8
This record from the Alexandria database describes crystalline MgCdRh2 at its relaxed geometry. The functional is GGA-PBEsol.

## Properties
The calculation puts the formation energy at -213 meV/atom. The uncorrected energy is -5.011 eV per atom.

abc: 10.0761 2.8819 4.7145
angles: 90.00 113.73 90.00
Space group Cm (No. 8)
Asymmetric unit:
Mg  0.0000  0.0000  0.0000
Cd  0.2245  0.0000  0.6054
Rh  0.2528  0.5000  0.1203
Rh  0.4720  0.0000  0.4917

=====

No. 9
This record from the Alexandria database describes crystalline YMgCuH2 at its relaxed geometry. The functional is GGA-PBEsol.

## Properties
The uncorrected energy is -3.375 eV per atom.

abc: 3.9533 3.9533 4.6877
angles: 90.00 90.00 90.00
Space group P4/mmm (No. 123)
Asymmetric unit:
Y  0.0000  0.0000  0.0000
Mg  0.5000  0.5000  0.0000
Cu  0.5000  0.5000  0.5000
H  0.0000  0.5000  0.5000

=====

No. 10
This record from the Alexandria database describes crystalline Mo3Os at its relaxed geometry. The functional is GGA-PBEsol.

## Properties
The calculation puts the formation energy at 2 meV/atom. The uncorrected energy is -11.878 eV per atom. Its energy above the most stable polymorph in this dataset is 0 meV/atom.

abc: 4.9388 4.9388 4.9388
angles: 90.00 90.00 90.00
Space group Pm-3n (No. 223)
Asymmetric unit:
Mo  0.0000  0.2500  0.5000
Os  0.0000  0.0000  0.0000

=====

No. 11
This record from the Alexandria database describes crystalline TmC2 at its relaxed geometry. The functional is GGA-PBEsol.

## Properties
The calculation puts the formation energy at -219 meV/atom. The uncorrected energy is -8.281 eV per atom.

abc: 3.5473 3.5473 6.0622
angles: 90.00 90.00 90.00
Space group I4/mmm (No. 139)
Asymmetric unit:
Tm  0.0000  0.0000  0.0000
C  0.0000  0.0000  0.3924

=====

No. 12
This record from the Alexandria database describes crystalline TlHgSb2 at its relaxed geometry. The functional is GGA-PBEsol.

## Properties
The uncorrected energy is -3.026 eV per atom. Its energy above the most stable polymorph in this dataset is 14 meV/atom. The calculation puts the raw formation energy at 20.2 kJ/mol of formula units.

abc: 3.1450 5.4066 6.3125
angles: 90.00 90.25 90.00
Space group P2/m (No. 10)
Asymmetric unit:
Tl  0.0000  0.0000  0.0000
Hg  0.5000  0.0000  0.5000
Sb  0.4968  0.5000  0.7470

=====

No. 13
This record from the Alexandria database describes crystalline Mg5TiB2O10 at its relaxed geometry. The functional is GGA-PBEsol.

## Properties
The uncorrected energy is -7.350 eV per atom. The calculation puts the raw formation energy at -4714.0 kJ/mol of formula units.

abc: 3.0130 9.3013 12.3659
angles: 90.00 90.00 90.00
Space group Pmc2_1 (No. 26)
Asymmetric unit:
Mg  0.0000  0.0183  0.0000
Mg  0.0000  0.2305  0.3866
Mg  0.5000  0.2354  0.1626
Mg  0.5000  0.2366  0.5962
Mg  0.5000  0.2394  0.8860
Ti  0.0000  0.4917  0.7662
B  0.0000  0.0280  0.7423
B  0.0000  0.4838  0.0217
O  0.0000  0.1022  0.6458
O  0.0000  0.1061  0.8370
O  0.0000  0.1230  0.2411
O  0.0000  0.3703  0.5248
O  0.0000  0.4087  0.1214
O  0.0000  0.4106  0.9216
O  0.5000  0.1325  0.4563
O  0.5000  0.1532  0.0254
O  0.5000  0.3656  0.7377
O  0.5000  0.3740  0.3030

=====

No. 14
This record from the Alexandria database describes crystalline AsAuSe2 at its relaxed geometry. The functional is GGA-PBEsol.

## Properties
The uncorrected energy is -3.892 eV per atom. The calculation puts the raw formation energy at 112.4 kJ/mol of formula units.

abc: 2.6967 2.6967 11.4755
angles: 90.00 90.00 90.00
Space group P4mm (No. 99)
Asymmetric unit:
As  0.0000  0.0000  0.0000
Au  0.5000  0.5000  0.1926
Se  0.0000  0.0000  0.4376
Se  0.5000  0.5000  0.7351

=====

No. 15
This record from the Alexandria database describes crystalline CaZnP2 at its relaxed geometry. The functional is GGA-PBEsol.

## Properties
The calculation puts the formation energy at -593 meV/atom. The uncorrected energy is -4.417 eV per atom.

abc: 10.4501 3.9706 3.9670
angles: 90.00 112.05 90.00
Space group Cm (No. 8)
Asymmetric unit:
Ca  0.0000  0.0000  0.0000
Zn  0.2467  0.5000  0.2719
P  0.1085  0.5000  0.6327
P  0.3806  0.0000  0.3301

=====

No. 16
This record from the Alexandria database describes crystalline Sr2NiPb at its relaxed geometry. The functional is GGA-PBEsol.

## Properties
The calculation puts the formation energy at -47 meV/atom. The uncorrected energy is -3.506 eV per atom.

abc: 5.3301 5.3301 3.9689
angles: 90.00 90.00 90.00
Space group P4/mmm (No. 123)
Asymmetric unit:
Sr  0.0000  0.5000  0.0000
Ni  0.0000  0.0000  0.5000
Pb  0.5000  0.5000  0.5000

=====

No. 17
This record from the Alexandria database describes crystalline Sc2BeZn at its relaxed geometry. The functional is GGA-PBEsol.

## Properties
The calculation puts the formation energy at -197 meV/atom. The uncorrected energy is -4.895 eV per atom. Its energy above the most stable polymorph in this dataset is 20 meV/atom.

abc: 3.2285 4.5671 4.5696
angles: 90.00 90.00 90.00
Space group Pmm2 (No. 25)
Asymmetric unit:
Sc  0.0000  0.0000  0.0000
Sc  0.0000  0.5000  0.4950
Be  0.5000  0.0000  0.5031
Zn  0.5000  0.5000  0.9926

=====

No. 18
This record from the Alexandria database describes crystalline Ba2NaCaI at its relaxed geometry. The functional is GGA-PBEsol.

## Properties
The uncorrected energy is -1.896 eV per atom. The calculation puts the raw formation energy at 11.4 kJ/mol of formula units.

abc: 6.9178 6.9178 5.5577
angles: 90.00 90.00 90.00
Space group P4/mmm (No. 123)
Asymmetric unit:
Ba  0.0000  0.5000  0.0000
Na  0.0000  0.0000  0.0000
Ca  0.5000  0.5000  0.5000
I  0.0000  0.0000  0.5000

=====

No. 19
This record from the Alexandria database describes crystalline TaSnRh2C at its relaxed geometry. The functional is GGA-PBEsol.

## Properties
The calculation puts the formation energy at 2322 meV/atom. The uncorrected energy is -6.224 eV per atom.

abc: 4.6064 4.6064 5.3482
angles: 90.00 90.00 90.00
Space group P4/mmm (No. 123)
Asymmetric unit:
Ta  0.0000  0.0000  0.0000
Sn  0.0000  0.0000  0.5000
Rh  0.0000  0.5000  0.0000
C  0.5000  0.5000  0.5000

=====

No. 20
This record from the Alexandria database describes crystalline BaSrMg2 at its relaxed geometry. The functional is GGA-PBEsol.

## Properties
The calculation puts the formation energy at -23 meV/atom. The uncorrected energy is -1.879 eV per atom. Its energy above the most stable polymorph in this dataset is 43 meV/atom.

abc: 4.0339 6.0673 12.1415
angles: 90.00 90.00 90.00
Space group Imm2 (No. 44)
Asymmetric unit:
Ba  0.0000  0.0000  0.0000
Sr  0.0000  0.5000  0.7966
Mg  0.0000  0.0000  0.5510
Mg  0.0000  0.5000  0.2406

=====

The following total moment values (in μB/f.u.) correspond, in order, to the records above: 0.001, 0.000, 0.977, 0.000, 0.000, 0.000, 0.000, 0.000, 0.001, 0.000, 0.000, 0.000, 0.000, 0.000, 0.000, 0.001, 0.000, 0.001, 0.862, 0.000.